1.
The following is a PBE-GGA calculation of a geometry-optimized Ca2LaZn2Ge2 structure, from the Alexandria database.

Its crystal system is trigonal. As for the symmetry: No. 166. Its formation energy is -0.51 eV/atom. For the size of the total moment, the calculation gives 0.0000 μB/atom.

a b c (Å): 12.056 12.056 12.056
angles (deg): 20.39 20.39 20.39
Element x y z (fractional)
Ca 0.120 0.120 0.120
Ca 0.880 0.880 0.880
La 0.000 0.000 0.000
Zn 0.395 0.395 0.395
Zn 0.605 0.605 0.605
Ge 0.272 0.272 0.272
Ge 0.728 0.728 0.728

---

2.
The following is a PBE-GGA calculation of a geometry-optimized NbVRu2I structure, from the Alexandria database.

Its crystal system is tetragonal. As for the symmetry: No. 123. For the size of the total moment, the calculation gives 0.0000 μB/atom. The calculation puts the energy relative to the elements, uncorrected at 593 kJ/mol of formula units.

a b c (Å): 4.547 4.547 4.770
angles (deg): 90.00 90.00 90.00
Element x y z (fractional)
Nb 0.000 0.000 0.000
V 0.000 0.000 0.500
Ru 0.000 0.500 0.500
Ru 0.500 0.000 0.500
I 0.500 0.500 0.000

---

3.
The following is a PBE-GGA calculation of a geometry-optimized Pm2PuO6 structure, from the Alexandria database.

Its crystal system is monoclinic. As for the symmetry: No. 14. For the size of the total moment, the calculation gives 0.2222 μB/atom. The calculation puts the energy relative to the elements, uncorrected at -2656 kJ/mol of formula units.

a b c (Å): 5.825 5.732 11.166
angles (deg): 90.00 121.39 90.00
Element x y z (fractional)
Pm 0.209 0.001 0.210
Pm 0.209 0.499 0.710
Pm 0.791 0.501 0.290
Pm 0.791 0.999 0.790
Pu 0.500 0.000 0.000
Pu 0.500 0.500 0.500
O 0.184 0.705 0.340
O 0.184 0.795 0.840
O 0.204 0.167 0.000
O 0.204 0.333 0.500
O 0.494 0.204 0.839
O 0.494 0.296 0.339
O 0.506 0.704 0.661
O 0.506 0.796 0.161
O 0.796 0.667 0.500
O 0.796 0.833 0.000
O 0.816 0.205 0.160
O 0.816 0.295 0.660

---

4.
The following is a PBE-GGA calculation of a geometry-optimized TaNbSn2Au structure, from the Alexandria database.

Its crystal system is tetragonal. As for the symmetry: No. 123. Its formation energy is 1.17 eV/atom. For the size of the total moment, the calculation gives 0.5245 μB/atom.

a b c (Å): 5.237 5.237 5.120
angles (deg): 90.00 90.00 90.00
Element x y z (fractional)
Ta 0.000 0.000 0.000
Nb 0.500 0.500 0.500
Sn 0.000 0.500 0.000
Sn 0.500 0.000 0.000
Au 0.000 0.000 0.500

---

5.
The following is a PBE-GGA calculation of a geometry-optimized GdHoHgGe structure, from the Alexandria database.

Its crystal system is cubic. As for the symmetry: No. 216. Its formation energy is -0.56 eV/atom. For the size of the total moment, the calculation gives 1.8780 μB/atom.

a b c (Å): 7.314 7.314 7.314
angles (deg): 90.00 90.00 90.00
Element x y z (fractional)
Gd 0.000 0.000 0.000
Gd 0.000 0.500 0.500
Gd 0.500 0.000 0.500
Gd 0.500 0.500 0.000
Ho 0.000 0.000 0.500
Ho 0.000 0.500 0.000
Ho 0.500 0.000 0.000
Ho 0.500 0.500 0.500
Hg 0.250 0.250 0.750
Hg 0.250 0.750 0.250
Hg 0.750 0.250 0.250
Hg 0.750 0.750 0.750
Ge 0.250 0.250 0.250
Ge 0.250 0.750 0.750
Ge 0.750 0.250 0.750
Ge 0.750 0.750 0.250

---

6.
The following is a PBE-GGA calculation of a geometry-optimized TaCr2GaH structure, from the Alexandria database.

Its uncorrected energy is -37.32 eV per cell. Its crystal system is tetragonal. As for the symmetry: No. 123. For the size of the total moment, the calculation gives 0.1663 μB/atom.

a b c (Å): 3.857 3.857 3.923
angles (deg): 90.00 90.00 90.00
Element x y z (fractional)
Ta 0.000 0.000 0.000
Cr 0.000 0.500 0.500
Cr 0.500 0.000 0.500
Ga 0.500 0.500 0.000
H 0.000 0.000 0.500

---

7.
The following is a PBE-GGA calculation of a geometry-optimized Pm2Y3Sn4 structure, from the Alexandria database.

Its crystal system is monoclinic. As for the symmetry: No. 14. The calculation puts the energy above the most stable polymorph in this dataset at 0 meV per atom. Its formation energy is -0.81 eV/atom. For the size of the total moment, the calculation gives 0.0000 μB/atom.

a b c (Å): 8.354 8.330 8.030
angles (deg): 90.00 110.66 90.00
Element x y z (fractional)
Pm 0.193 0.179 0.062
Pm 0.193 0.321 0.562
Pm 0.807 0.679 0.438
Pm 0.807 0.821 0.938
Y 0.246 0.668 0.239
Y 0.246 0.832 0.739
Y 0.500 0.000 0.500
Y 0.500 0.500 0.000
Y 0.754 0.168 0.261
Y 0.754 0.332 0.761
Sn 0.083 0.538 0.838
Sn 0.083 0.962 0.338
Sn 0.487 0.135 0.864
Sn 0.487 0.365 0.364
Sn 0.513 0.635 0.636
Sn 0.513 0.865 0.136
Sn 0.917 0.038 0.662
Sn 0.917 0.462 0.162

---

8.
The following is a PBE-GGA calculation of a geometry-optimized Sm3YEr2S6 structure, from the Alexandria database.

Its crystal system is monoclinic. As for the symmetry: No. 12. For the size of the total moment, the calculation gives 0.0000 μB/atom. The calculation puts the energy relative to the elements, uncorrected at -2319 kJ/mol of formula units.

a b c (Å): 6.813 6.813 6.878
angles (deg): 99.47 99.47 120.18
Element x y z (fractional)
Sm 0.000 0.000 0.000
Sm 0.335 0.665 0.000
Sm 0.665 0.335 0.000
Y 0.500 0.500 0.500
Er 0.166 0.834 0.500
Er 0.834 0.166 0.500
S 0.084 0.421 0.262
S 0.242 0.242 0.737
S 0.421 0.084 0.262
S 0.579 0.916 0.738
S 0.758 0.758 0.263
S 0.916 0.579 0.738